No. 1
# B2HI

Crystalline B2HI at its relaxed geometry (PBE, the Alexandria database).

Cell lengths 5.789, 5.789, 5.789 Å; angles 90.00, 90.00, 90.00 degrees
Space group Fm-3m (No. 225)
Inequivalent atoms, fractional coordinates:
1 B 0.250 0.250 0.250
2 H 0.000 0.000 0.000
3 I 0.000 0.000 0.500

Results
- polymorph energy (0 for the lowest one) (meV per atom) = 1046.3


No. 2
# BH4I

Crystalline BH4I at its relaxed geometry (PBE, the Alexandria database).

Cell lengths 3.585, 3.767, 14.564 Å; angles 89.30, 86.48, 80.89 degrees
Space group P-1 (No. 2)
Inequivalent atoms, fractional coordinates:
1 B 0.059 0.123 0.123
2 H 0.056 0.822 0.096
3 H 0.213 0.648 0.892
4 H 0.360 0.234 0.105
5 H 0.463 0.962 0.522
6 I 0.043 0.085 0.275

Results
- polymorph energy (0 for the lowest one) (meV per atom) = 0.0


No. 3
# NaBHI2

Crystalline NaBHI2 at its relaxed geometry (PBE, the Alexandria database).

Cell lengths 5.876, 5.876, 4.189 Å; angles 90.00, 90.00, 90.00 degrees
Space group P4/mmm (No. 123)
Inequivalent atoms, fractional coordinates:
1 Na 0.000 0.000 0.000
2 B 0.500 0.500 0.500
3 H 0.000 0.000 0.500
4 I 0.000 0.500 0.000

Results
- uncorrected energy (Ry per atom) = -0.14061


No. 4
# Rb3B12H12I

Crystalline Rb3B12H12I at its relaxed geometry (PBE, the Alexandria database).

Cell lengths 10.4409, 10.4409, 11.7656 Å; angles 90.00, 90.00, 120.00 degrees
Space group R-3m (No. 166, hexagonal axes)
Inequivalent atoms, fractional coordinates:
1 Rb 0.0000 0.5000 0.0000
2 B 0.0567 0.1135 0.8856
3 B 0.0919 0.1839 0.0271
4 H 0.0184 0.5092 0.7137
5 H 0.0973 0.1945 0.8044
6 I 0.0000 0.0000 0.5000

Results
- uncorrected energy (Ry per atom) = -0.36232


No. 5
# Rb2BHI6

Crystalline Rb2BHI6 at its relaxed geometry (PBE, the Alexandria database).

Cell lengths 7.115, 7.115, 14.295 Å; angles 90.00, 90.00, 90.00 degrees
Space group I4/mmm (No. 139)
Inequivalent atoms, fractional coordinates:
1 Rb 0.000 0.500 0.250
2 B 0.000 0.000 0.000
3 H 0.000 0.000 0.500
4 I 0.000 0.000 0.211
5 I 0.245 0.245 0.000

Results
- uncorrected energy (Ry per atom) = -0.16807


No. 6
# Sn2BHI

Crystalline Sn2BHI at its relaxed geometry (PBE, the Alexandria database).

Cell lengths 5.726, 5.726, 3.234 Å; angles 90.00, 90.00, 90.00 degrees
Space group P4/mmm (No. 123)
Inequivalent atoms, fractional coordinates:
1 Sn 0.000 0.500 0.000
2 B 0.000 0.000 0.500
3 H 0.000 0.000 0.000
4 I 0.500 0.500 0.500

Results
- uncorrected energy (Ry per atom) = -0.22140